VASP calculation (PBE with a Hubbard U) on a relaxed Ba3NpCr2O9 crystal.

CIF file:
```
data_Ba3NpCr2O9
_chemical_formula_sum 'Ba3 Np1 Cr2 O9'
_space_group_name_H-M_alt 'P 1'
_space_group_IT_number 1
_cell_length_a 5.837
_cell_length_b 5.837
_cell_length_c 7.220
_cell_angle_alpha 90.00
_cell_angle_beta 90.00
_cell_angle_gamma 120.00
loop_
_space_group_symop_operation_xyz
'x,y,z'
loop_
_atom_site_label
_atom_site_type_symbol
_atom_site_fract_x
_atom_site_fract_y
_atom_site_fract_z
_atom_site_occupancy
Ba1 Ba 0.333 0.667 0.693 1
Ba2 Ba 0.000 0.000 0.000 1
Ba3 Ba 0.667 0.333 0.307 1
Np1 Np 0.000 0.000 0.500 1
Cr1 Cr 0.333 0.667 0.156 1
Cr2 Cr 0.667 0.333 0.844 1
O1 O 0.833 0.167 0.668 1
O2 O 0.833 0.666 0.668 1
O3 O 0.334 0.167 0.668 1
O4 O 0.666 0.833 0.332 1
O5 O 0.167 0.334 0.332 1
O6 O 0.167 0.833 0.332 1
O7 O 0.500 0.000 0.000 1
O8 O 0.000 0.500 0.000 1
O9 O 0.500 0.500 0.000 1
```

Values from the calculation:
**Crystal system**: trigonal
**DFT total energy**: -7.8201 eV/atom
**Size of the total moment**: 5.008 μB/f.u.
**Symmetry**: P-3m1, No. 164